CeSi2Os: relaxed, GGA-PBE.

```
4
Lattice="2.360 1.363 3.563 -2.360 1.363 3.563 0.000 -2.726 3.563" Properties=species:S:1:pos:R:3 pbc="T T T"
Ce 0.000 0.000 0.000
Si 0.000 0.000 2.792
Si 0.000 0.000 7.897
Os 0.000 0.000 5.344
```

Results
E_form (uncorrected), eV per atom: -0.19
Magnetic moment, μB per atom: 0.0738